1.
Crystalline Cu5As at its relaxed geometry, computed with PBE-GGA.

Structure (POSCAR):
```
Cu5As
1.0
-0.5979 -0.4072 2.7779
0.5935 -2.7943 -0.2819
9.1358 1.7166 2.2179
Cu As
5 1
direct
0.5000 0.5000 0.3474
0.0000 0.0000 0.1880
0.5000 0.5000 0.6526
0.0000 0.0000 0.5000
0.0000 0.0000 0.8120
0.5000 0.5000 0.0000
```

## Properties
Calculated total energy   -4.0930 eV per atom



2.
Crystalline LiScSe at its relaxed geometry, computed with PBE-GGA.

Structure (POSCAR):
```
LiScSe
1.0
-1.0975 -3.0566 2.5460
3.6861 0.2118 1.8432
-2.5389 4.6917 4.5381
Sc Li Se
2 2 2
direct
0.5000 0.5000 0.5000
0.0000 0.0000 0.5000
0.0000 0.5000 0.8536
0.5000 0.0000 0.1464
0.0000 0.5000 0.2261
0.5000 0.0000 0.7739
```

## Properties
Polymorph energy (0 for the lowest one)   0.000 eV/f.u.
Calculated total energy   -4.8605 eV per atom
Raw formation energy   -92 kJ/mol of atoms



3.
Crystalline YAg3 at its relaxed geometry, computed with PBE-GGA.

Structure (POSCAR):
```
YAg3
1.0
-1.4260 2.9882 -4.9841
-6.7404 -6.2686 -1.8298
-3.9783 3.3578 3.1514
Y Ag
4 12
direct
0.9625 0.2500 0.4468
0.5375 0.7500 0.9468
0.4625 0.2500 0.0532
0.0375 0.7500 0.5532
0.3168 0.9922 0.3243
0.8168 0.5078 0.1757
0.1832 0.4922 0.8243
0.1832 0.0078 0.8243
0.6832 0.0078 0.6757
0.6832 0.4922 0.6757
0.9355 0.2500 0.9370
0.0645 0.7500 0.0630
0.5645 0.7500 0.4370
0.3168 0.5078 0.3243
0.8168 0.9922 0.1757
0.4355 0.2500 0.5630
```

## Properties
Calculated total energy   -3.8693 eV per atom



4.
Crystalline HoNiGe2Ru at its relaxed geometry, computed with PBE-GGA.

Structure (POSCAR):
```
HoNiGe2Ru
1.0
-0.8909 3.8641 -0.7048
-3.1754 -1.1339 -2.2029
-0.9633 -1.2764 5.7275
Ni Ge Ho Ru
1 2 1 1
direct
0.7500 0.2500 0.5000
0.6221 0.6221 0.2443
0.3779 0.3779 0.7557
0.0000 0.0000 0.0000
0.2500 0.7500 0.5000
```

## Properties
Calculated total energy   -6.4116 eV per atom



5.
Crystalline Mg2Ag2Au5 at its relaxed geometry, computed with PBE-GGA.

Structure (POSCAR):
```
Mg2Ag2Au5
1.0
-0.4673 -4.9326 -1.2237
3.7917 0.0964 5.3747
-0.5655 -1.0207 7.7197
Au Ag Mg
5 2 2
direct
0.2301 0.4653 0.4260
0.0000 0.0000 0.0000
0.7699 0.5347 0.5740
0.3380 0.6594 0.6765
0.6620 0.3406 0.3235
0.8932 0.7820 0.7743
0.1068 0.2180 0.2257
0.5574 0.1074 0.1257
0.4426 0.8926 0.8743
```

## Properties
Polymorph energy (0 for the lowest one)   0.000 eV/f.u.
Calculated total energy   -3.1001 eV per atom



6.
Crystalline Ta4BeSi at its relaxed geometry, computed with PBE-GGA.

Structure (POSCAR):
```
Ta4BeSi
1.0
-4.4547 -2.0054 -1.0410
0.5620 -3.7430 4.8059
-2.7096 4.1689 3.5638
Ta Be Si
8 2 2
direct
0.5000 0.1724 0.3489
0.0000 0.6511 0.8276
0.5000 0.3489 0.8276
0.0000 0.8276 0.3489
0.5000 0.8276 0.6511
0.5000 0.6511 0.1724
0.0000 0.1724 0.6511
0.0000 0.3489 0.1724
0.2500 0.5000 0.5000
0.7500 0.5000 0.5000
0.7500 0.0000 0.0000
0.2500 0.0000 0.0000
```

## Properties
Polymorph energy (0 for the lowest one)   0.000 eV/f.u.
Calculated total energy   -9.8437 eV per atom
Raw formation energy   -40 kJ/mol of atoms



7.
Crystalline Ac2CdPPd6 at its relaxed geometry, computed with PBE-GGA.

Structure (POSCAR):
```
Ac2CdPPd6
1.0
-2.6057 -4.8411 2.5386
3.7827 -3.8064 -3.3761
1.8280 2.0184 5.7254
P Cd Pd Ac
1 1 6 2
direct
0.0000 0.0000 0.0000
0.5000 0.0000 0.0000
0.8144 0.1890 0.8110
0.1856 0.8110 0.6220
0.1856 0.8110 0.1890
0.8144 0.1890 0.3780
0.8144 0.6220 0.8110
0.1856 0.3780 0.1890
0.2975 0.3333 0.6667
0.7025 0.6667 0.3333
```

## Properties
Calculated total energy   -5.3153 eV per atom



8.
Crystalline LiBAsIr2 at its relaxed geometry, computed with PBE-GGA.

Structure (POSCAR):
```
LiBAsIr2
1.0
4.0999 0.0000 0.0000
0.0000 4.1331 0.0000
0.0000 0.0000 4.0999
B Ir Li As
1 2 1 1
direct
0.0000 0.0000 0.0000
0.5000 0.0000 0.0000
0.0000 0.0000 0.5000
0.0000 0.5000 0.0000
0.5000 0.5000 0.5000
```

## Properties
Calculated total energy   -6.2134 eV per atom



9.
Crystalline Ce4Pr2P3N2 at its relaxed geometry, computed with PBE-GGA.

Structure (POSCAR):
```
Ce4Pr2P3N2
1.0
4.5664 0.0000 0.0000
0.0000 4.5664 0.0000
-2.2832 -2.2832 12.0421
Ce N Pr P
4 2 2 3
direct
0.5792 0.0792 0.1583
0.4208 0.9208 0.8417
0.0792 0.5792 0.1583
0.9208 0.4208 0.8417
0.4005 0.4005 0.8010
0.5995 0.5995 0.1990
0.2993 0.2993 0.5985
0.7007 0.7007 0.4015
0.1718 0.1718 0.3436
0.8282 0.8282 0.6564
0.0000 0.0000 0.0000
```

## Properties
Calculated total energy   -7.2230 eV per atom
Raw formation energy   -116 kJ/mol of atoms



10.
Crystalline Fe4SbIr at its relaxed geometry, computed with PBE-GGA.

Structure (POSCAR):
```
Fe4SbIr
1.0
0.0000 3.4483 3.4483
3.4483 0.0000 3.4483
3.4483 3.4483 0.0000
Fe Sb Ir
4 1 1
direct
0.1248 0.6251 0.6251
0.6251 0.6251 0.1248
0.6251 0.1248 0.6251
0.6251 0.6251 0.6251
0.0000 0.0000 0.0000
0.2500 0.2500 0.2500
```

## Properties
Calculated total energy   -7.6404 eV per atom
Raw formation energy   16 kJ/mol of atoms



11.
Crystalline AcTbYHo at its relaxed geometry, computed with PBE-GGA.

Structure (POSCAR):
```
AcTbYHo
1.0
3.6898 -0.0001 -0.0016
-1.8442 3.1953 0.0034
-1.8355 -1.0715 11.8304
Y Ac Ho Tb
1 1 1 1
direct
0.1285 0.9622 0.1049
0.9704 0.3832 0.3688
0.3015 0.5487 0.8661
0.4775 0.1366 0.6298
```

## Properties
Polymorph energy (0 for the lowest one)   0.000 eV/f.u.
Calculated total energy   -4.8816 eV per atom



12.
Crystalline SrGa4Rh2 at its relaxed geometry, computed with PBE-GGA.

Structure (POSCAR):
```
SrGa4Rh2
1.0
4.4385 0.0000 0.0000
0.0000 6.6187 0.0000
0.0000 0.0000 17.3844
Rh Sr Ga
8 4 16
direct
0.7500 0.5051 0.7127
0.2500 0.7479 0.5399
0.2500 0.4949 0.2873
0.2500 0.7521 0.0399
0.2500 0.0051 0.7873
0.7500 0.2479 0.9601
0.7500 0.9949 0.2127
0.7500 0.2521 0.4601
0.7500 0.0047 0.6385
0.7500 0.4953 0.1385
0.2500 0.5047 0.8615
0.2500 0.9953 0.3615
0.2500 0.7939 0.1901
0.7500 0.5096 0.5680
0.7500 0.2939 0.3099
0.7500 0.6961 0.3135
0.7500 0.6669 0.9671
0.7500 0.8039 0.8135
0.7500 0.2061 0.8099
0.7500 0.9904 0.0680
0.7500 0.8331 0.4671
0.2500 0.7061 0.6901
0.2500 0.3331 0.0329
0.2500 0.3039 0.6865
0.2500 0.0096 0.9320
0.2500 0.4904 0.4320
0.2500 0.1669 0.5329
0.2500 0.1961 0.1865
```

## Properties
Calculated total energy   -4.5955 eV per atom



> Which of these has the lowest calculated total energy?

Ta4BeSi



> Which of these has the highest calculated total energy?

Mg2Ag2Au5



> The highest calculated total energy belongs to which entry?

Mg2Ag2Au5